Entry 1:
{"formula": "Ca2TmZrBi4", "functional": "GGA-PBE", "state": "optimized geometry", "m_tot_mub_per_cell": 0.0, "dos_ef_per_ev_fu": 2.850, "e_tot_ev_per_atom": -4.70, "spacegroup": "P2/m", "cell": [[4.368, 0.000, 0.000], [0.000, 7.628, 0.154], [0.000, -2.649, 7.530]], "species": ["Bi", "Bi", "Bi", "Bi", "Zr", "Tm", "Ca", "Ca"], "fractional_positions": [[0.000, 0.753, 0.234], [0.500, 0.765, 0.771], [0.000, 0.247, 0.766], [0.500, 0.235, 0.229], [0.000, 0.000, 0.000], [0.500, 0.500, 0.000], [0.500, 0.000, 0.500], [0.000, 0.500, 0.500]]}

Entry 2:
{"formula": "V7Ir16Rh6", "functional": "GGA-PBE", "state": "optimized geometry", "m_tot_mub_per_cell": 0.0, "dos_ef_per_ev_fu": 40.272, "e_tot_ev_per_atom": -8.66, "spacegroup": "Fm-3m", "cell": [[-1.711, 8.310, 0.274], [-7.589, 2.684, 2.696], [-0.694, 3.946, 7.484]], "species": ["V", "V", "V", "V", "V", "V", "V", "Ir", "Ir", "Ir", "Ir", "Ir", "Ir", "Ir", "Ir", "Ir", "Ir", "Ir", "Ir", "Ir", "Ir", "Ir", "Ir", "Rh", "Rh", "Rh", "Rh", "Rh", "Rh"], "fractional_positions": [[0.500, 0.000, 0.000], [0.500, 0.000, 0.500], [0.000, 0.500, 0.500], [0.500, 0.500, 0.000], [0.000, 0.000, 0.000], [0.000, 0.000, 0.500], [0.000, 0.500, 0.000], [0.118, 0.647, 0.118], [0.353, 0.882, 0.882], [0.337, 0.337, 0.990], [0.663, 0.663, 0.010], [0.663, 0.010, 0.663], [0.118, 0.118, 0.647], [0.882, 0.882, 0.882], [0.647, 0.118, 0.118], [0.990, 0.337, 0.337], [0.663, 0.663, 0.663], [0.118, 0.118, 0.118], [0.882, 0.353, 0.882], [0.337, 0.990, 0.337], [0.337, 0.337, 0.337], [0.882, 0.882, 0.353], [0.010, 0.663, 0.663], [0.676, 0.676, 0.324], [0.676, 0.324, 0.676], [0.676, 0.324, 0.324], [0.324, 0.676, 0.324], [0.324, 0.676, 0.676], [0.324, 0.324, 0.676]]}

Entry 3:
{"formula": "Th3CoAu2", "functional": "GGA-PBE", "state": "optimized geometry", "m_tot_mub_per_cell": 0.0, "dos_ef_per_ev_fu": 6.299, "e_tot_ev_per_atom": -6.43, "spacegroup": "Immm", "e_above_lowest_polymorph_mev_per_atom": 22, "cell": [[3.818, 0.000, 0.000], [0.000, 6.095, 0.000], [-1.909, -3.048, 6.761]], "species": ["Th", "Th", "Th", "Au", "Au", "Co"], "fractional_positions": [[0.000, 0.000, 0.000], [0.637, 0.637, 0.275], [0.363, 0.363, 0.725], [0.320, 0.820, 0.640], [0.680, 0.180, 0.360], [0.000, 0.500, 0.000]]}

Entry 4:
{"formula": "Ac2CoNi", "functional": "GGA-PBE", "state": "optimized geometry", "m_tot_mub_per_cell": 0.0, "dos_ef_per_ev_fu": 3.670, "e_tot_ev_per_atom": -5.38, "spacegroup": "Amm2", "cell": [[-1.654, 3.423, 1.603], [-2.238, 0.494, -3.365], [-3.384, -3.594, 4.185]], "species": ["Ni", "Co", "Ac", "Ac"], "fractional_positions": [[0.000, 0.679, 0.359], [0.500, 0.568, 0.137], [0.500, 0.260, 0.520], [0.000, 0.992, 0.984]]}

Entry 5:
{"formula": "MgTiAu6", "functional": "GGA-PBE", "state": "optimized geometry", "m_tot_mub_per_cell": 0.0, "dos_ef_per_ev_fu": 3.568, "e_tot_ev_per_atom": -3.99, "spacegroup": "C2/m", "cell": [[-0.276, -2.099, 3.576], [2.779, -4.179, 0.177], [6.072, 2.265, 4.214]], "species": ["Au", "Au", "Au", "Au", "Au", "Au", "Ti", "Mg"], "fractional_positions": [[0.496, 0.260, 0.747], [0.504, 0.740, 0.253], [0.251, 0.878, 0.620], [0.749, 0.122, 0.380], [0.750, 0.629, 0.871], [0.250, 0.371, 0.129], [0.000, 0.500, 0.500], [0.000, 0.000, 0.000]]}

Entry 6:
{"formula": "CaLaPr2", "functional": "GGA-PBE", "state": "optimized geometry", "m_tot_mub_per_cell": 0.0, "dos_ef_per_ev_fu": 6.941, "e_tot_ev_per_atom": -4.09, "spacegroup": "R3m", "e_above_lowest_polymorph_mev_per_atom": 0, "cell": [[3.742, 0.000, 0.000], [1.871, 3.241, 0.000], [1.871, 1.080, 12.368]], "species": ["Pr", "Pr", "Ca", "La"], "fractional_positions": [[0.080, 0.080, 0.759], [0.253, 0.253, 0.241], [0.500, 0.500, 0.499], [0.666, 0.666, 0.001]]}

Entry 7:
{"formula": "FeSnSeN2", "functional": "GGA-PBE", "state": "optimized geometry", "m_tot_mub_per_cell": 0.0, "dos_ef_per_ev_fu": 3.743, "formation_energy_uncorrected_ev_per_atom": 0.80, "e_tot_ev_per_atom": -5.72, "spacegroup": "P4/mmm", "e_above_lowest_polymorph_mev_per_atom": 0, "cell": [[3.794, 0.000, 0.000], [0.000, 3.794, 0.000], [0.000, 0.000, 5.063]], "species": ["Sn", "Se", "N", "N", "Fe"], "fractional_positions": [[0.500, 0.500, 0.500], [0.000, 0.000, 0.500], [0.500, 0.000, 0.000], [0.000, 0.500, 0.000], [0.000, 0.000, 0.000]]}

Entry 8:
{"formula": "Tl2Pd2Au", "functional": "GGA-PBE", "state": "optimized geometry", "m_tot_mub_per_cell": 0.0, "dos_ef_per_ev_fu": 1.707, "e_tot_ev_per_atom": -3.63, "spacegroup": "I4/mmm", "e_above_lowest_polymorph_mev_per_atom": 144, "cell": [[-3.455, -1.444, 0.872], [1.356, -1.196, 3.393], [-2.980, 5.141, 5.182]], "species": ["Pd", "Pd", "Au", "Tl", "Tl"], "fractional_positions": [[0.250, 0.750, 0.500], [0.750, 0.250, 0.500], [0.000, 0.000, 0.000], [0.608, 0.608, 0.784], [0.392, 0.392, 0.216]]}

Entry 9:
{"formula": "Mg3Cd3In", "functional": "GGA-PBE", "state": "optimized geometry", "m_tot_mub_per_cell": 0.0, "dos_ef_per_ev_fu": 3.990, "e_tot_ev_per_atom": -1.02, "spacegroup": "Pm-3n", "e_above_lowest_polymorph_mev_per_atom": 504, "cell": [[-6.680, 1.415, 3.919], [-3.929, -4.603, -5.035], [1.386, -6.228, 4.612]], "species": ["Mg", "Mg", "Mg", "Mg", "Mg", "Mg", "Cd", "Cd", "Cd", "Cd", "Cd", "Cd", "In", "In"], "fractional_positions": [[0.250, 0.500, 0.000], [0.000, 0.750, 0.500], [0.500, 0.000, 0.250], [0.000, 0.250, 0.500], [0.750, 0.500, 0.000], [0.500, 0.000, 0.750], [0.000, 0.500, 0.250], [0.000, 0.500, 0.750], [0.500, 0.250, 0.000], [0.750, 0.000, 0.500], [0.500, 0.750, 0.000], [0.250, 0.000, 0.500], [0.500, 0.500, 0.500], [0.000, 0.000, 0.000]]}

Entry 10:
{"formula": "GaSb2As", "functional": "GGA-PBE", "state": "optimized geometry", "m_tot_mub_per_cell": 0.0, "dos_ef_per_ev_fu": 0.620, "formation_energy_uncorrected_ev_per_atom": 0.15, "e_tot_ev_per_atom": -3.83, "spacegroup": "I-42d", "e_above_lowest_polymorph_mev_per_atom": 0, "cell": [[-0.029, 0.889, 6.234], [5.274, -3.402, 0.510], [6.225, 4.214, 2.608]], "species": ["Ga", "Ga", "Sb", "Sb", "Sb", "Sb", "As", "As"], "fractional_positions": [[0.500, 0.500, 0.000], [0.250, 0.750, 0.500], [0.610, 0.125, 0.250], [0.140, 0.625, 0.250], [0.875, 0.860, 0.750], [0.375, 0.390, 0.750], [0.750, 0.250, 0.500], [0.000, 0.000, 0.000]]}

Entry 11:
{"formula": "BeAsAu", "functional": "GGA-PBE", "state": "optimized geometry", "m_tot_mub_per_cell": 0.0, "dos_ef_per_ev_fu": 0.460, "e_tot_ev_per_atom": -3.69, "spacegroup": "P6_3/mmc", "cell": [[-0.372, 3.350, -1.822], [-2.892, -2.513, -0.002], [-2.846, 3.269, 6.593]], "species": ["Be", "Be", "Au", "Au", "As", "As"], "fractional_positions": [[0.333, 0.667, 0.250], [0.667, 0.333, 0.750], [0.000, 0.000, 0.500], [0.000, 0.000, 0.000], [0.667, 0.333, 0.250], [0.333, 0.667, 0.750]]}

Entry 12:
{"formula": "Ni2AsH2", "functional": "GGA-PBE", "state": "optimized geometry", "m_tot_mub_per_cell": 0.0, "dos_ef_per_ev_fu": 2.136, "e_tot_ev_per_atom": -4.57, "spacegroup": "I4/mmm", "cell": [[-0.377, -2.302, 1.760], [2.147, -1.414, -1.389], [4.370, 0.137, 3.539]], "species": ["Ni", "Ni", "H", "H", "As"], "fractional_positions": [[0.660, 0.660, 0.681], [0.340, 0.340, 0.319], [0.250, 0.750, 0.500], [0.750, 0.250, 0.500], [0.000, 0.000, 0.000]]}